A relaxed Na2Re crystal. Source: OQMD, functional GGA-PBE.

The structure in CIF format:
```
data_Na2Re
_chemical_formula_sum 'Na8 Re4'
_symmetry_space_group_name_H-M 'P 1'
_symmetry_Int_Tables_number 1
_cell_length_a 5.879
_cell_length_b 5.879
_cell_length_c 7.938
_cell_angle_alpha 90.00
_cell_angle_beta 90.00
_cell_angle_gamma 120.00
loop_
_symmetry_equiv_pos_as_xyz
'x,y,z'
loop_
_atom_site_label
_atom_site_fract_x
_atom_site_fract_y
_atom_site_fract_z
Na1 0.000 0.000 0.000
Na2 0.181 0.363 0.250
Na3 0.181 0.819 0.250
Na4 0.637 0.819 0.250
Na5 0.000 0.000 0.500
Na6 0.363 0.181 0.750
Na7 0.819 0.181 0.750
Na8 0.819 0.637 0.750
Re1 0.667 0.333 0.112
Re2 0.667 0.333 0.388
Re3 0.333 0.667 0.612
Re4 0.333 0.667 0.888
```

Results
space-group type: P6_3/mmc, No. 194
final energy: -0.279 Ry per atom
mass density: 6.49 g/cm³

A relaxed Na2Re crystal. Source: OQMD, functional GGA-PBE.

The structure in CIF format:
```
data_Na2Re
_chemical_formula_sum 'Na4 Re2'
_symmetry_space_group_name_H-M 'P 1'
_symmetry_Int_Tables_number 1
_cell_length_a 5.218
_cell_length_b 5.218
_cell_length_c 5.218
_cell_angle_alpha 60.00
_cell_angle_beta 60.00
_cell_angle_gamma 60.00
loop_
_symmetry_equiv_pos_as_xyz
'x,y,z'
loop_
_atom_site_label
_atom_site_fract_x
_atom_site_fract_y
_atom_site_fract_z
Na1 0.625 0.625 0.125
Na2 0.625 0.125 0.625
Na3 0.125 0.625 0.625
Na4 0.625 0.625 0.625
Re1 0.000 0.000 0.000
Re2 0.250 0.250 0.250
```

Results
space-group type: Fd-3m, No. 227
final energy: -0.256 Ry per atom
mass density: 7.68 g/cm³

A relaxed NaRe3S5 crystal. Source: OQMD, functional GGA-PBE.

The structure in CIF format:
```
data_NaRe3S5
_chemical_formula_sum 'Na1 Re3 S5'
_symmetry_space_group_name_H-M 'P 1'
_symmetry_Int_Tables_number 1
_cell_length_a 5.570
_cell_length_b 5.570
_cell_length_c 6.893
_cell_angle_alpha 90.00
_cell_angle_beta 90.00
_cell_angle_gamma 120.00
loop_
_symmetry_equiv_pos_as_xyz
'x,y,z'
loop_
_atom_site_label
_atom_site_fract_x
_atom_site_fract_y
_atom_site_fract_z
Na1 0.000 0.000 0.000
Re1 0.500 0.000 0.500
Re2 0.000 0.500 0.500
Re3 0.500 0.500 0.500
S1 0.667 0.333 0.243
S2 0.333 0.667 0.243
S3 0.000 0.000 0.500
S4 0.667 0.333 0.757
S5 0.333 0.667 0.757
```

Results
space-group type: P6/mmm, No. 191
final energy: -0.486 Ry per atom
mass density: 6.65 g/cm³

A relaxed Na2ReS4 crystal. Source: OQMD, functional GGA-PBE.

The structure in CIF format:
```
data_Na2ReS4
_chemical_formula_sum 'Na4 Re2 S8'
_symmetry_space_group_name_H-M 'P 1'
_symmetry_Int_Tables_number 1
_cell_length_a 7.827
_cell_length_b 7.827
_cell_length_c 7.827
_cell_angle_alpha 60.00
_cell_angle_beta 60.00
_cell_angle_gamma 60.00
loop_
_symmetry_equiv_pos_as_xyz
'x,y,z'
loop_
_atom_site_label
_atom_site_fract_x
_atom_site_fract_y
_atom_site_fract_z
Na1 0.875 0.375 0.375
Na2 0.375 0.875 0.375
Na3 0.375 0.375 0.375
Na4 0.375 0.375 0.875
Re1 0.000 0.000 0.000
Re2 0.750 0.750 0.750
S1 0.636 0.636 0.092
S2 0.658 0.114 0.114
S3 0.114 0.658 0.114
S4 0.114 0.114 0.114
S5 0.092 0.636 0.636
S6 0.636 0.092 0.636
S7 0.636 0.636 0.636
S8 0.114 0.114 0.658
```

Results
space-group type: Fd-3m, No. 227
final energy: -0.373 Ry per atom
mass density: 3.53 g/cm³

A relaxed NaReSb crystal. Source: OQMD, functional GGA-PBE.

The structure in CIF format:
```
data_NaReSb
_chemical_formula_sum 'Na1 Re1 Sb1'
_symmetry_space_group_name_H-M 'P 1'
_symmetry_Int_Tables_number 1
_cell_length_a 4.517
_cell_length_b 4.517
_cell_length_c 4.517
_cell_angle_alpha 60.00
_cell_angle_beta 60.00
_cell_angle_gamma 60.00
loop_
_symmetry_equiv_pos_as_xyz
'x,y,z'
loop_
_atom_site_label
_atom_site_fract_x
_atom_site_fract_y
_atom_site_fract_z
Na1 0.250 0.250 0.250
Re1 0.750 0.750 0.750
Sb1 0.000 0.000 0.000
```

Results
space-group type: F-43m, No. 216
final energy: -0.371 Ry per atom
mass density: 8.43 g/cm³

A relaxed NaScRe crystal. Source: OQMD, functional GGA-PBE.

The structure in CIF format:
```
data_NaScRe
_chemical_formula_sum 'Na1 Sc1 Re1'
_symmetry_space_group_name_H-M 'P 1'
_symmetry_Int_Tables_number 1
_cell_length_a 4.646
_cell_length_b 4.646
_cell_length_c 4.646
_cell_angle_alpha 60.00
_cell_angle_beta 60.00
_cell_angle_gamma 60.00
loop_
_symmetry_equiv_pos_as_xyz
'x,y,z'
loop_
_atom_site_label
_atom_site_fract_x
_atom_site_fract_y
_atom_site_fract_z
Na1 0.250 0.250 0.250
Re1 0.000 0.000 0.000
Sc1 0.750 0.750 0.750
```

Results
space-group type: F-43m, No. 216
final energy: -0.386 Ry per atom
mass density: 5.95 g/cm³

A relaxed NaRe3Se5 crystal. Source: OQMD, functional GGA-PBE.

The structure in CIF format:
```
data_NaRe3Se5
_chemical_formula_sum 'Na1 Re3 Se5'
_symmetry_space_group_name_H-M 'P 1'
_symmetry_Int_Tables_number 1
_cell_length_a 5.755
_cell_length_b 5.755
_cell_length_c 7.337
_cell_angle_alpha 90.00
_cell_angle_beta 90.00
_cell_angle_gamma 120.00
loop_
_symmetry_equiv_pos_as_xyz
'x,y,z'
loop_
_atom_site_label
_atom_site_fract_x
_atom_site_fract_y
_atom_site_fract_z
Na1 0.000 0.000 0.000
Re1 0.500 0.000 0.500
Re2 0.000 0.500 0.500
Re3 0.500 0.500 0.500
Se1 0.667 0.333 0.241
Se2 0.333 0.667 0.241
Se3 0.000 0.000 0.500
Se4 0.667 0.333 0.759
Se5 0.333 0.667 0.759
```

Results
space-group type: P6/mmm, No. 191
final energy: -0.452 Ry per atom
mass density: 7.71 g/cm³

A relaxed Na2Re3Se6 crystal. Source: OQMD, functional GGA-PBE.

The structure in CIF format:
```
data_Na2Re3Se6
_chemical_formula_sum 'Na8 Re12 Se24'
_symmetry_space_group_name_H-M 'P 1'
_symmetry_Int_Tables_number 1
_cell_length_a 9.719
_cell_length_b 9.719
_cell_length_c 12.096
_cell_angle_alpha 92.08
_cell_angle_beta 92.08
_cell_angle_gamma 62.07
loop_
_symmetry_equiv_pos_as_xyz
'x,y,z'
loop_
_atom_site_label
_atom_site_fract_x
_atom_site_fract_y
_atom_site_fract_z
Na1 0.892 0.338 0.003
Na2 0.576 0.424 0.250
Na3 0.217 0.783 0.250
Na4 0.662 0.108 0.497
Na5 0.338 0.892 0.503
Na6 0.783 0.217 0.750
Na7 0.424 0.576 0.750
Na8 0.108 0.662 0.997
Re1 0.692 0.992 0.032
Re2 0.402 0.188 0.082
Re3 0.521 0.888 0.128
Re4 0.112 0.479 0.372
Re5 0.812 0.598 0.418
Re6 0.008 0.308 0.468
Re7 0.992 0.692 0.532
Re8 0.188 0.402 0.582
Re9 0.888 0.521 0.628
Re10 0.479 0.112 0.872
Re11 0.598 0.812 0.918
Re12 0.308 0.008 0.968
Se1 0.426 0.719 0.015
Se2 0.799 0.701 0.075
Se3 0.948 0.994 0.089
Se4 0.241 0.080 0.169
Se5 0.267 0.460 0.191
Se6 0.611 0.066 0.232
Se7 0.934 0.389 0.268
Se8 0.540 0.733 0.309
Se9 0.920 0.759 0.331
Se10 0.006 0.052 0.411
Se11 0.299 0.201 0.425
Se12 0.281 0.574 0.485
Se13 0.719 0.426 0.515
Se14 0.701 0.799 0.575
Se15 0.994 0.948 0.589
Se16 0.080 0.241 0.669
Se17 0.460 0.267 0.691
Se18 0.067 0.611 0.732
Se19 0.389 0.934 0.768
Se20 0.733 0.540 0.809
Se21 0.759 0.920 0.831
Se22 0.052 0.006 0.911
Se23 0.201 0.299 0.925
Se24 0.574 0.281 0.985
```

Results
space-group type: C2/c, No. 15
final energy: -0.451 Ry per atom
mass density: 7.10 g/cm³

A relaxed Na4ReSe4 crystal. Source: OQMD, functional GGA-PBE.

The structure in CIF format:
```
data_Na4ReSe4
_chemical_formula_sum 'Na8 Re2 Se8'
_symmetry_space_group_name_H-M 'P 1'
_symmetry_Int_Tables_number 1
_cell_length_a 8.046
_cell_length_b 8.046
_cell_length_c 7.244
_cell_angle_alpha 90.00
_cell_angle_beta 90.00
_cell_angle_gamma 90.00
loop_
_symmetry_equiv_pos_as_xyz
'x,y,z'
loop_
_atom_site_label
_atom_site_fract_x
_atom_site_fract_y
_atom_site_fract_z
Na1 0.803 0.408 0.029
Na2 0.197 0.592 0.029
Na3 0.303 0.092 0.471
Na4 0.697 0.908 0.471
Na5 0.908 0.303 0.529
Na6 0.092 0.697 0.529
Na7 0.408 0.197 0.971
Na8 0.592 0.803 0.971
Re1 0.000 0.000 0.000
Re2 0.500 0.500 0.500
Se1 0.091 0.232 0.182
Se2 0.909 0.768 0.182
Se3 0.591 0.268 0.318
Se4 0.409 0.732 0.318
Se5 0.268 0.409 0.682
Se6 0.732 0.591 0.682
Se7 0.768 0.091 0.818
Se8 0.232 0.909 0.818
```

Results
space-group type: P-42_1c, No. 114
final energy: -0.303 Ry per atom
mass density: 4.21 g/cm³

A relaxed Na4ReSi2 crystal. Source: OQMD, functional GGA-PBE.

The structure in CIF format:
```
data_Na4ReSi2
_chemical_formula_sum 'Na4 Re1 Si2'
_symmetry_space_group_name_H-M 'P 1'
_symmetry_Int_Tables_number 1
_cell_length_a 7.921
_cell_length_b 7.921
_cell_length_c 7.921
_cell_angle_alpha 138.45
_cell_angle_beta 138.45
_cell_angle_gamma 60.21
loop_
_symmetry_equiv_pos_as_xyz
'x,y,z'
loop_
_atom_site_label
_atom_site_fract_x
_atom_site_fract_y
_atom_site_fract_z
Na1 0.213 0.213 0.000
Na2 0.787 0.787 0.000
Na3 0.500 0.000 0.500
Na4 0.000 0.500 0.500
Re1 0.000 0.000 0.000
Si1 0.419 0.419 0.000
Si2 0.581 0.581 0.000
```

Results
space-group type: I4/mmm, No. 139
final energy: -0.216 Ry per atom
mass density: 2.57 g/cm³

A relaxed NaReSiTe crystal. Source: OQMD, functional GGA-PBE.

The structure in CIF format:
```
data_NaReSiTe
_chemical_formula_sum 'Na1 Re1 Si1 Te1'
_symmetry_space_group_name_H-M 'P 1'
_symmetry_Int_Tables_number 1
_cell_length_a 4.611
_cell_length_b 4.611
_cell_length_c 4.611
_cell_angle_alpha 60.00
_cell_angle_beta 60.00
_cell_angle_gamma 60.00
loop_
_symmetry_equiv_pos_as_xyz
'x,y,z'
loop_
_atom_site_label
_atom_site_fract_x
_atom_site_fract_y
_atom_site_fract_z
Na1 0.750 0.750 0.750
Re1 0.250 0.250 0.250
Si1 0.000 0.000 0.000
Te1 0.500 0.500 0.500
```

Results
space-group type: F-43m, No. 216
final energy: -0.376 Ry per atom
mass density: 8.74 g/cm³

A relaxed NaReSiTe crystal. Source: OQMD, functional GGA-PBE.

The structure in CIF format:
```
data_NaReSiTe
_chemical_formula_sum 'Na1 Re1 Si1 Te1'
_symmetry_space_group_name_H-M 'P 1'
_symmetry_Int_Tables_number 1
_cell_length_a 4.667
_cell_length_b 4.667
_cell_length_c 4.667
_cell_angle_alpha 60.00
_cell_angle_beta 60.00
_cell_angle_gamma 60.00
loop_
_symmetry_equiv_pos_as_xyz
'x,y,z'
loop_
_atom_site_label
_atom_site_fract_x
_atom_site_fract_y
_atom_site_fract_z
Na1 0.750 0.750 0.750
Re1 0.000 0.000 0.000
Si1 0.250 0.250 0.250
Te1 0.500 0.500 0.500
```

Results
space-group type: F-43m, No. 216
final energy: -0.339 Ry per atom
mass density: 8.43 g/cm³

Look up the mass density of the twelfth one. 8.43 g/cm³